1.
Here is HgOsCl2 after structural relaxation from the Alexandria database. Energies are from PBE-GGA.

```
4
Lattice="-2.850 6.483 -1.471 -3.449 3.025 -5.593 1.101 -4.796 5.301" Properties=species:S:1:pos:R:3 pbc="T T T"
Cl -0.608 0.917 -0.681
Hg -2.636 3.980 -2.957
Os -2.664 1.365 -1.818
Cl -2.438 3.204 0.162
```

Computed properties:
**Formation energy (no corrections)**: 51 kJ per mole of atoms
**Total moment**: 0.00 μB/cell
**DOS at the Fermi energy**: 2.76 states/eV/cell
**Offset from the most stable computed form**: 448 meV per atom


2.
Here is HgOsCl after structural relaxation from the Alexandria database. Energies are from PBE-GGA.

```
3
Lattice="4.532 0.000 0.000 2.266 3.925 0.000 2.266 1.308 3.700" Properties=species:S:1:pos:R:3 pbc="T T T"
Os 6.797 3.925 2.775
Hg 4.532 2.616 1.850
Cl 0.000 0.000 0.000
```

Computed properties:
**Formation energy (no corrections)**: 127 kJ per mole of atoms
**Total moment**: 2.29 μB/cell
**DOS at the Fermi energy**: 1.20 states/eV/cell
**Offset from the most stable computed form**: 615 meV per atom


3.
Here is HgOsCl2 after structural relaxation from the Alexandria database. Energies are from PBE-GGA.

```
4
Lattice="-1.870 -0.563 -2.593 1.372 -2.285 1.853 -8.550 -0.115 6.191" Properties=species:S:1:pos:R:3 pbc="T T T"
Hg -2.386 -1.453 1.178
Os -6.661 -1.510 4.273
Cl -4.914 -0.066 3.558
Cl -7.911 -0.107 5.728
```

Computed properties:
**Formation energy (no corrections)**: 26 kJ per mole of atoms
**Total moment**: 0.00 μB/cell
**DOS at the Fermi energy**: 1.65 states/eV/cell
**Offset from the most stable computed form**: 184 meV per atom


4.
Here is HgOsCl2 after structural relaxation from the Alexandria database. Energies are from PBE-GGA.

```
4
Lattice="1.723 0.000 10.985 -0.861 1.492 10.985 -0.861 -1.492 10.985" Properties=species:S:1:pos:R:3 pbc="T T T"
Hg 0.000 0.000 16.477
Cl 0.000 0.000 30.736
Cl 0.000 0.000 2.218
Os 0.000 0.000 0.000
```

Computed properties:
**Formation energy (no corrections)**: 18 kJ per mole of atoms
**Total moment**: 0.00 μB/cell
**DOS at the Fermi energy**: 2.50 states/eV/cell
**Offset from the most stable computed form**: 106 meV per atom


5.
Here is HgOsCl2 after structural relaxation from the Alexandria database. Energies are from PBE-GGA.

```
4
Lattice="-1.004 3.083 -0.869 -2.160 -2.271 1.202 1.649 2.937 8.514" Properties=species:S:1:pos:R:3 pbc="T T T"
Hg 0.847 1.508 4.372
Os -0.338 2.623 6.594
Cl -1.093 1.278 2.694
Cl 1.541 2.745 7.958
```

Computed properties:
**Formation energy (no corrections)**: 40 kJ per mole of atoms
**Total moment**: 1.13 μB/cell
**DOS at the Fermi energy**: 1.59 states/eV/cell
**Offset from the most stable computed form**: 333 meV per atom


6.
Here is HgOsCl2 after structural relaxation from the Alexandria database. Energies are from PBE-GGA.

```
4
Lattice="2.106 0.000 10.171 -1.053 1.823 10.171 -1.053 -1.823 10.171" Properties=species:S:1:pos:R:3 pbc="T T T"
Os 0.000 0.000 15.257
Cl 0.000 0.000 3.914
Hg 0.000 0.000 0.000
Cl 0.000 0.000 26.599
```

Computed properties:
**Formation energy (no corrections)**: 16 kJ per mole of atoms
**Total moment**: 0.00 μB/cell
**DOS at the Fermi energy**: 0.00 states/eV/cell
**Offset from the most stable computed form**: 84 meV per atom


7.
Here is HgOsCl3 after structural relaxation from the Alexandria database. Energies are from PBE-GGA.

```
5
Lattice="-4.104 -2.354 1.095 1.340 -0.166 4.665 -2.224 4.245 0.790" Properties=species:S:1:pos:R:3 pbc="T T T"
Os 0.000 0.000 0.000
Cl -1.112 2.122 0.395
Hg -2.494 0.862 3.275
Cl 0.670 -0.083 2.333
Cl -2.052 -1.177 0.548
```

Computed properties:
**Formation energy (no corrections)**: 17 kJ per mole of atoms
**Total moment**: 1.77 μB/cell
**DOS at the Fermi energy**: 5.05 states/eV/cell
**Offset from the most stable computed form**: 0 meV per atom


8.
Here is HgOsCl2 after structural relaxation from the Alexandria database. Energies are from PBE-GGA.

```
4
Lattice="0.000 3.427 3.427 3.427 0.000 3.427 3.427 3.427 0.000" Properties=species:S:1:pos:R:3 pbc="T T T"
Cl 1.713 1.713 1.713
Os 0.000 0.000 0.000
Hg 3.427 3.427 3.427
Cl 5.140 5.140 5.140
```

Computed properties:
**Formation energy (no corrections)**: 110 kJ per mole of atoms
**Total moment**: 2.59 μB/cell
**DOS at the Fermi energy**: 2.15 states/eV/cell
**Offset from the most stable computed form**: 1054 meV per atom